1.
This record from Alexandria via LeMat-Bulk describes an optimized crystal structure of Cd2Ni4N. The functional is GGA-PBE.

The electronic total energy is -4.69 eV per atom. The calculation puts the magnetization at 0.000 μB/atom. The crystal system is tetragonal. The energy relative to the elements, uncorrected is 0.4 eV/f.u.

The structure belongs to space group I4/mmm (No. 139); the cell edges are 3.751, 3.751 and 13.554 Å and the angles 90.00°, 90.00° and 90.00°. The asymmetric unit holds Cd at (0.000, 0.000, 0.167), Ni at (0.000, 0.000, 0.363), Ni at (0.000, 0.500, 0.000) and N at (0.000, 0.000, 0.500).

***

2.
This record from Alexandria via LeMat-Bulk describes an optimized crystal structure of In2SiClF5. The functional is GGA-PBE.

The electronic total energy is -4.74 eV per atom. The calculation puts the magnetization at 0.000 μB/atom. The crystal system is tetragonal. The energy relative to the elements, uncorrected is -20.5 eV/f.u.

The structure belongs to space group I4mm (No. 107); the cell edges are 6.409, 6.409 and 8.551 Å and the angles 90.00°, 90.00° and 90.00°. The asymmetric unit holds In at (0.000, 0.500, 0.000), Si at (0.000, 0.000, 0.265), Cl at (0.000, 0.000, 0.990), F at (0.000, 0.000, 0.464) and F at (0.188, 0.188, 0.257).

***

3.
This record from Alexandria via LeMat-Bulk describes an optimized crystal structure of Pm12NdIn4N3. The functional is GGA-PBE.

The electronic total energy is -5.36 eV per atom. The calculation puts the magnetization at 0.000 μB/atom. The crystal system is cubic. The energy relative to the elements, uncorrected is -9.4 eV/f.u.

The structure belongs to space group Im-3m (No. 229); the cell edges are 10.209, 10.209 and 10.209 Å and the angles 90.00°, 90.00° and 90.00°. The asymmetric unit holds Pm at (0.000, 0.000, 0.275), Pm at (0.000, 0.250, 0.500), Nd at (0.000, 0.000, 0.000), In at (0.250, 0.250, 0.250) and N at (0.000, 0.000, 0.500).

***

4.
This record from Alexandria via LeMat-Bulk describes an optimized crystal structure of SmErSn6. The functional is GGA-PBE.

The electronic total energy is -4.59 eV per atom. The calculation puts the magnetization at 0.000 μB/atom. The crystal system is tetragonal. Its formation energy is -432 meV/atom.

The structure belongs to space group P4/mmm (No. 123); the cell edges are 4.725, 4.725 and 9.469 Å and the angles 90.00°, 90.00° and 90.00°. The asymmetric unit holds Sm at (0.000, 0.000, 0.000), Er at (0.000, 0.000, 0.500), Sn at (0.000, 0.500, 0.254), Sn at (0.500, 0.500, 0.000) and Sn at (0.500, 0.500, 0.500).